Material: KCuW2
Method: DFT, PBE-GGA
State: relaxed

Cell lengths 3.7862, 3.7862, 5.3588 Å; angles 90.00, 90.00, 90.00 degrees
Positions (direct):
1 Cu 0.0000 0.5000 0.5000
2 K 0.5000 0.0000 0.5000
3 W 0.0000 0.0000 0.0000
4 W 0.5000 0.5000 0.0000

Values from the calculation:
Total magnetization in μB/cell: 0.00
Relative energy among the computed polymorphs in eV/atom: 0.868
E_form in meV per atom: 1617

Material: V8W
Method: DFT, PBE-GGA
State: relaxed

Cell lengths 3.0286, 6.5758, 6.5758 Å; angles 86.96, 76.69, 76.69 degrees
Positions (direct):
1 V 0.6691 0.0000 0.6618
2 V 0.3309 0.0000 0.3382
3 V 0.3371 0.6629 0.6629
4 V 0.6691 0.6618 0.0000
5 V 0.0000 0.6629 0.3371
6 V 0.3309 0.3382 0.0000
7 V 0.6629 0.3371 0.3371
8 V 0.0000 0.3371 0.6629
9 W 0.0000 0.0000 0.0000

Values from the calculation:
Total magnetization in μB/cell: 0.00
E_form in meV per atom: -18

Material: Cs3MgTl3I8
Method: DFT, PBE-GGA
State: relaxed

Cell lengths 10.6395, 10.6404, 10.1462 Å; angles 121.61, 90.00, 120.00 degrees
Positions (direct):
1 Cs 0.5000 0.0000 0.5000
2 Cs 0.5000 0.5000 0.5000
3 Cs 0.0000 0.5000 0.5000
4 Mg 0.0000 0.0000 0.5000
5 Tl 0.0000 0.0000 0.0000
6 Tl 0.0000 0.5000 0.0000
7 Tl 0.5000 0.5000 0.0000
8 I 0.2413 0.4827 0.2240
9 I 0.7587 0.5173 0.7760
10 I 0.7948 0.5896 0.2802
11 I 0.2052 0.4104 0.7198
12 I 0.7950 0.9856 0.2806
13 I 0.2050 0.0144 0.7194
14 I 0.1906 0.9856 0.2806
15 I 0.8094 0.0144 0.7194

Values from the calculation:
Total magnetization in μB/cell: 0.00
Electronic total energy in eV per cell: -39.79